The following is a PBE calculation of a relaxed Ba2AgMo crystal, from the Alexandria database.

Energy above the most stable polymorph in this dataset, meV/atom: 269
Total magnetization, μB/cell: 6.21
ΔE_f, kcal/mol of atoms: 20.0

Cell and atoms, written as CIF:
```
data_Ba2AgMo
_space_group_name_H-M_alt 'C 1 2/m 1'
_space_group_IT_number 12
_cell_length_a 8.661
_cell_length_b 3.799
_cell_length_c 8.935
_cell_angle_alpha 90.00
_cell_angle_beta 99.56
_cell_angle_gamma 90.00
loop_
_space_group_symop_operation_xyz
'x,y,z'
'-x,-y,-z'
'-x,y,-z'
'x,-y,z'
'x+1/2,y+1/2,z'
'-x+1/2,-y+1/2,-z'
'-x+1/2,y+1/2,-z'
'x+1/2,-y+1/2,z'
loop_
_atom_site_label
_atom_site_type_symbol
_atom_site_fract_x
_atom_site_fract_y
_atom_site_fract_z
Ba1 Ba 0.247 0.000 0.240
Ag1 Ag 0.000 0.000 0.500
Mo1 Mo 0.000 0.500 0.000
```